! SrLiGaF6 | Alexandria via LeMat-Bulk | SCAN | PBEsol geometry; values from VASP
&SYSTEM
  ibrav = 0, nat = 18, ntyp = 4
/
ATOMIC_SPECIES
Sr 87.62 Sr.upf
Li 6.94 Li.upf
Ga 69.72 Ga.upf
F 19.00 F.upf
ATOMIC_POSITIONS angstrom
Sr 0.0000 0.0000 0.0000
Sr 0.0000 0.0000 5.1695
Li 0.0000 2.9754 2.5848
Li 2.5768 1.4877 7.7543
Ga 0.0000 2.9754 7.7543
Ga 2.5768 1.4877 2.5848
F -0.8864 1.6838 6.6706
F -1.5617 2.8536 8.8380
F 0.8864 1.6838 8.8380
F -0.6753 4.3888 6.6706
F 1.9014 0.0743 1.5011
F 1.0151 1.6095 3.6685
F 1.5617 2.8536 6.6706
F 0.6753 4.3888 8.8380
F 3.2521 0.0743 3.6685
F 1.6904 2.7793 1.5011
F 4.1385 1.6095 1.5011
F 3.4631 2.7793 3.6685
CELL_PARAMETERS angstrom
5.1535 0.0000 0.0000
-2.5768 4.4631 0.0000
0.0000 0.0000 10.3391
! Total energy (eV/atom): -10.297
! Space group: P-31c